w | Density functional theory data (PBE) for crystalline TbPm4Tm7 at its relaxed geometry.

The structure in POSCAR format:
```
TbPm4Tm7
1.0
6.528 0.000 0.000
1.049 6.713 0.000
2.013 0.566 8.741
Tb Pm Tm
1 4 7
direct
0.000 0.000 0.000 Tb
0.167 0.615 0.308 Pm
0.361 0.193 0.713 Pm
0.639 0.807 0.287 Pm
0.833 0.385 0.692 Pm
0.000 0.500 0.000 Tm
0.186 0.105 0.382 Tm
0.319 0.703 0.645 Tm
0.488 0.248 0.048 Tm
0.512 0.752 0.952 Tm
0.681 0.297 0.355 Tm
0.814 0.895 0.618 Tm
```

x | Density functional theory data (PBE) for crystalline TbPm4Tm7 at its relaxed geometry.

The structure in POSCAR format:
```
TbPm4Tm7
1.0
6.029 -2.921 0.000
6.029 2.921 0.000
-5.999 0.000 11.214
Tb Pm Tm
1 4 7
direct
0.000 0.000 0.000 Tb
0.222 0.222 0.666 Pm
0.361 0.361 0.223 Pm
0.639 0.639 0.777 Pm
0.778 0.778 0.334 Pm
0.069 0.069 0.311 Tm
0.212 0.212 0.924 Tm
0.368 0.368 0.506 Tm
0.500 0.500 0.000 Tm
0.632 0.632 0.494 Tm
0.788 0.788 0.076 Tm
0.931 0.931 0.689 Tm
```

Of the structures shown above, x is the least stable.